! TlMoH2F8, relaxed, DFT GGA+U; values from VASP
&SYSTEM
  ibrav = 0, nat = 12, ntyp = 4
/
ATOMIC_SPECIES
F 19.00 F.upf
Mo 95.94 Mo.upf
Tl 204.38 Tl.upf
H 1.01 H.upf
CELL_PARAMETERS angstrom
5.010 0.826 0.375
0.942 4.905 -0.112
0.675 -0.254 8.087
ATOMIC_POSITIONS angstrom
F 4.129 3.794 3.375
F 1.851 3.944 1.310
F 2.498 1.683 4.976
F 4.776 1.533 7.041
F 2.049 1.012 8.068
F 4.578 4.464 0.283
F 2.519 3.626 6.546
F 4.107 1.851 1.805
Mo 0.000 0.000 0.000
Tl 0.337 -0.127 4.044
H 2.554 2.332 5.699
H 4.073 3.145 2.652
! Space group: P-1 (2)
! Total DFT energy (no corrections): -4.67 eV per atom